Version a
Here is an optimized crystal structure of NdZrAu from the Alexandria database. Energies are from PBE.

Summary:
crystal system: tetragonal

CIF file:
```
data_NdZrAu
_chemical_formula_sum 'Nd2 Zr2 Au2'
_cell_length_a 4.560
_cell_length_b 4.560
_cell_length_c 7.448
_cell_angle_alpha 90.00
_cell_angle_beta 90.00
_cell_angle_gamma 90.00
_space_group_name_H-M_alt 'P 4/n m m'
_space_group_IT_number 129
loop_
_space_group_symop_operation_xyz
'x,y,z'
'-x,-y,-z'
'-y+1/2,x,z'
'y+1/2,-x,-z'
'-x+1/2,-y+1/2,z'
'x+1/2,y+1/2,-z'
'y,-x+1/2,z'
'-y,x+1/2,-z'
'x+1/2,-y,-z'
'-x+1/2,y,z'
'-y,-x,-z'
'y,x,z'
'-x,y+1/2,-z'
'x,-y+1/2,z'
'y+1/2,x+1/2,-z'
'-y+1/2,-x+1/2,z'
loop_
_atom_site_label
_atom_site_fract_x
_atom_site_fract_y
_atom_site_fract_z
Nd1 0.250 0.250 0.137
Zr1 0.250 0.750 0.500
Au1 0.250 0.250 0.743
```

---

Version b
Here is an optimized crystal structure of NdZrAu from the Alexandria database. Energies are from PBE.

Summary:
crystal system: tetragonal

CIF file:
```
data_NdZrAu
_chemical_formula_sum 'Nd2 Zr2 Au2'
_cell_length_a 3.501
_cell_length_b 3.501
_cell_length_c 12.261
_cell_angle_alpha 90.00
_cell_angle_beta 90.00
_cell_angle_gamma 90.00
_space_group_name_H-M_alt 'I 4 m m'
_space_group_IT_number 107
_space_group_name_Hall 'I 4 -2'
loop_
_atom_site_label
_atom_site_fract_x
_atom_site_fract_y
_atom_site_fract_z
Nd1 0.000 0.000 0.000
Zr1 0.000 0.000 0.692
Au1 0.000 0.000 0.313
```

---

The energetic minimum among the shown structures is version a; the next structure lies 0.070 eV/atom above.